(1)
Ru2Se after structural relaxation. Source: Alexandria via LeMat-Bulk, functional PBE.

Output
Formation energy from raw total energies ... 0.4763 eV per atom
Excess energy over the best structure of this formula in the dataset ... 414.9 meV/atom

Cell: 3.0446 3.0446 20.0242 Å, 90.00 90.00 90.00°
Closest atoms and distances in Å follow each position.
Space group I4_1/amd (No. 141, origin choice 2)
Asymmetric unit:
Ru  0.0000  0.2500  0.3029 [8 per cell]  4 Se 2.59, 3 Ru 2.61-2.89
Se  0.0000  0.2500  0.8750 [4 per cell]  8 Ru 2.59

=====

(2)
Bi3Pb7 after structural relaxation. Source: Alexandria via LeMat-Bulk, functional PBE.

Output
Energy of formation ... 57 meV/atom
Excess energy over the best structure of this formula in the dataset ... 34.3 meV/atom

Cell: 10.8590 10.8590 6.7849 Å, 90.00 90.00 120.00°
Closest atoms and distances in Å follow each position.
Space group P6_3mc (No. 186)
Asymmetric unit:
Bi  0.1921  0.3842  0.0000 [6 per cell]  8 Pb 3.28-3.51
Pb  0.0554  0.5277  0.6872 [6 per cell]  4 Bi 3.38-3.51, 6 Pb 3.48-3.77
Pb  0.1475  0.2950  0.4694 [6 per cell]  3 Bi 3.28-3.29, 3 Pb 3.48-3.64
Pb  0.3333  0.6667  0.3203 [2 per cell]  3 Bi 3.43, 9 Pb 3.61-3.77

=====

(3)
Hf4BeH after structural relaxation. Source: Alexandria via LeMat-Bulk, functional PBE.

Output
Total energy ... -7.8796 eV/atom

Cell: 8.0439 12.4334 5.6584 Å, 90.00 134.58 90.00°
Closest atoms and distances in Å follow each position.
Space group C2/c (No. 15)
Asymmetric unit:
Hf  0.1370  0.2032  0.1351 [8 per cell]  1 H 2.31
Hf  0.2421  0.4526  0.3541 [8 per cell]  1 H 2.22
Be  0.0000  0.3745  0.7500 [4 per cell]  8 Hf 2.66-2.69, 2 H 2.95
H  0.0000  0.0694  0.7500 [4 per cell]  4 Hf 2.22-2.31

=====

(4)
LiFeP2Ir after structural relaxation. Source: Alexandria via LeMat-Bulk, functional PBE.

Output
Energy of formation ... -590 meV/atom

Cell: 3.8985 3.8985 9.2615 Å, 90.00 90.00 90.00°
Closest atoms and distances in Å follow each position.
Space group I-4m2 (No. 119)
Asymmetric unit:
Li  0.0000  0.0000  0.0000 [2 per cell]  8 P 2.98, 4 Fe 3.03, 4 Ir 3.03
Fe  0.0000  0.5000  0.7500 [2 per cell]  4 P 2.28
P  0.0000  0.0000  0.3782 [4 per cell]  1 P 2.26, 2 Fe 2.28, 2 Ir 2.28
Ir  0.0000  0.5000  0.2500 [2 per cell]  4 P 2.28

=====

(5)
SrZn12Au4 after structural relaxation. Source: Alexandria via LeMat-Bulk, functional PBE.

Output
Energy of formation ... -23 meV/atom

Cell: 8.9342 8.9342 8.9342 Å, 90.00 90.00 90.00°
Closest atoms and distances in Å follow each position.
Space group Im-3 (No. 204)
Asymmetric unit:
Sr  0.0000  0.0000  0.0000 [2 per cell]  12 Zn 3.46, 8 Au 3.87
Zn  0.0000  0.1485  0.3578 [24 per cell]  2 Zn 2.54-2.65, 2 Au 2.60
Au  0.2500  0.2500  0.2500 [8 per cell]  6 Zn 2.60

=====

(6)
HfCd3Pt after structural relaxation. Source: Alexandria via LeMat-Bulk, functional PBE.

Output
Energy of formation ... 1404 meV/atom
Excess energy over the best structure of this formula in the dataset ... 835.3 meV/atom

Cell: 5.4567 5.4567 5.4567 Å, 90.00 90.00 90.00°
Closest atoms and distances in Å follow each position.
Space group Pm-3m (No. 221)
Asymmetric unit:
Hf  0.0000  0.0000  0.0000 [1 per cell]  6 Cd 2.73
Cd  0.0000  0.0000  0.5000 [3 per cell]  2 Hf 2.73
Pt  0.5000  0.5000  0.5000 [1 per cell]  12 Cd 3.86

=====

Repeat the sixth record exactly.
HfCd3Pt after structural relaxation. Source: Alexandria via LeMat-Bulk, functional PBE.

Output
Energy of formation ... 1404 meV/atom
Excess energy over the best structure of this formula in the dataset ... 835.3 meV/atom

Cell: 5.4567 5.4567 5.4567 Å, 90.00 90.00 90.00°
Closest atoms and distances in Å follow each position.
Space group Pm-3m (No. 221)
Asymmetric unit:
Hf  0.0000  0.0000  0.0000 [1 per cell]  6 Cd 2.73
Cd  0.0000  0.0000  0.5000 [3 per cell]  2 Hf 2.73
Pt  0.5000  0.5000  0.5000 [1 per cell]  12 Cd 3.86